The following is a DFT calculation (meta-GGA SCAN) of a PBEsol-optimized structure of Li2AgPt.

Geometry as POSCAR:
```
Li2AgPt
1.0
-1.976 1.976 3.534
1.976 -1.976 3.534
1.976 1.976 -3.534
Li Ag Pt
2 1 1
Cartesian
1.976 0.000 1.767
0.000 1.976 1.767
0.000 0.000 0.000
0.000 0.000 3.534
```

As for the formation energy from the elements: -0.42 eV per atom. The calculation puts the calculated volume at 13.79 Å³/atom. Its symmetry is I4/mmm, No. 139. Its spin magnetization is 0.0 Bohr magnetons per cell. The total energy comes out at -27.006 eV/atom.